PBE Rb3Ac3ZnO8, optimized geometry; VASP energy = -5.8082 eV per atom; magnetic moment = 2.09 μB per cell; space-group type = C2/m (12)
1.0
7.285 0.000 0.000
-3.643 6.702 0.123
0.000 -4.299 6.559
Ac O Rb Zn
3 8 3 1
Cartesian
-1.821 1.201 3.341 Ac
1.821 1.201 3.341 Ac
3.643 -2.149 3.279 Ac
3.643 0.009 4.576 O
2.153 3.572 4.373 O
5.795 -1.169 2.308 O
-2.153 3.572 4.373 O
3.643 1.801 1.866 O
1.490 -1.169 2.308 O
0.000 0.602 4.816 O
0.000 2.394 2.105 O
-1.821 3.351 0.061 Rb
1.821 3.351 0.061 Rb
0.000 0.000 0.000 Rb
0.000 -2.149 3.279 Zn

PBE RbLiBe2F6, optimized geometry; VASP energy = -5.2699 eV per atom; magnetic moment = 0.00 μB per cell; space-group type = C2/c (15)
1.0
-6.069 4.227 0.353
0.379 -2.464 6.973
3.775 3.740 0.103
F Be Rb Li
12 4 2 2
Cartesian
-0.997 0.854 1.679 F
-3.240 3.628 0.441 F
-2.908 2.885 5.594 F
0.993 2.618 1.835 F
0.081 1.549 3.990 F
-1.997 3.954 3.438 F
-0.919 4.649 5.750 F
2.834 1.154 4.790 F
-4.750 4.349 2.639 F
0.327 5.123 2.357 F
-2.242 0.380 5.072 F
1.324 1.875 6.988 F
1.200 4.215 1.532 Be
0.335 1.284 2.531 Be
-2.251 4.219 4.898 Be
-3.115 1.288 5.896 Be
-2.240 5.996 1.455 Rb
0.325 -0.493 5.974 Rb
-3.239 3.204 2.316 Li
1.323 2.299 5.113 Li

PBE K2ZnPSe4, optimized geometry; VASP energy = -3.4693 eV per atom; magnetic moment = 0.00 μB per cell; space-group type = Fddd (70)
1.0
-5.035 2.781 -2.005
-6.208 -4.243 0.451
-4.576 5.567 9.961
Se K P Zn
8 4 2 2
Cartesian
-7.314 3.576 5.138 Se
-4.523 1.375 3.694 Se
-11.470 2.826 4.644 Se
-7.044 -1.929 0.815 Se
-13.518 4.028 7.466 Se
-6.431 4.740 8.525 Se
-4.646 1.373 0.008 Se
-8.333 0.434 3.338 Se
-9.918 4.268 7.692 K
-5.784 4.301 1.985 K
-8.420 1.228 -0.287 K
-3.827 4.048 5.972 K
-6.651 1.358 4.705 P
-2.518 1.391 -1.002 P
-9.169 2.748 3.702 Zn
0.000 0.000 0.000 Zn

PBE HoVNi, optimized geometry; VASP energy = -6.3911 eV per atom; magnetic moment = 0.00 μB per cell; ΔE_f = 101 meV/atom; space-group type = Fmmm (69)
1.0
-1.125 4.847 1.962
-3.017 -2.893 -3.337
-0.014 -2.898 4.238
V Ni Ho
2 2 2
Cartesian
-3.363 -0.213 1.512 V
-0.793 -0.731 1.351 V
-1.605 1.463 2.756 Ni
-2.551 -2.407 0.107 Ni
-2.353 -0.177 -1.478 Ho
-1.789 2.131 0.102 Ho

PBE Dy3Tm2PuSe6, optimized geometry; VASP energy = -6.5377 eV per atom; magnetic moment = 6.03 μB per cell; space-group type = C2/m (12)
1.0
-3.204 1.528 -1.936
3.641 -1.442 -7.165
-2.901 -8.245 2.518
Dy Se Tm Pu
3 6 2 1
Cartesian
0.218 0.043 -4.550 Dy
-4.031 -4.506 -1.106 Dy
1.567 -3.654 -5.477 Dy
0.342 -6.259 -5.505 Se
0.915 -0.386 -1.820 Se
-1.448 -5.550 -1.984 Se
-3.379 -7.774 -4.763 Se
-1.017 -2.610 -4.599 Se
-2.806 -1.901 -1.078 Se
-2.187 -5.247 -4.743 Tm
-0.277 -2.913 -1.840 Tm
-1.602 0.764 -0.968 Pu

PBE Mg2RhSe, optimized geometry; VASP energy = -4.0236 eV per atom; magnetic moment = 0.00 μB per cell; space-group type = Cmmm (65)
1.0
4.426 0.001 0.000
-0.030 4.426 0.000
0.000 0.000 3.498
Se Mg Rh
1 2 1
Cartesian
-0.015 2.213 1.749 Se
2.198 2.214 0.000 Mg
0.000 0.000 0.000 Mg
2.213 0.001 1.749 Rh

PBE CsTcH2Cl8, optimized geometry; VASP energy = -3.5426 eV per atom; magnetic moment = 2.00 μB per cell; space-group type = P-1 (2)
1.0
-5.234 2.722 -2.875
3.398 -2.735 -4.848
-7.263 -5.995 1.553
Cs Cl H Tc
1 8 2 1
Cartesian
-3.631 -2.997 0.777 Cs
-5.588 0.438 -3.250 Cl
-10.443 -3.443 -2.393 Cl
-3.510 -6.446 -2.920 Cl
-8.292 -5.509 -0.494 Cl
1.345 -2.565 -3.777 Cl
-6.295 -3.139 -2.047 Cl
-2.804 -2.869 -4.123 Cl
-0.807 -0.499 -5.676 Cl
-2.068 -1.927 -4.685 H
-7.030 -4.081 -1.485 H
0.000 0.000 0.000 Tc

PBE LiNd4Ru, optimized geometry; VASP energy = -5.0991 eV per atom; magnetic moment = 0.00 μB per cell; ΔE_f = -56 meV/atom; space-group type = C2/c (15)
1.0
6.310 -0.708 0.000
-2.490 9.039 0.000
-1.910 -4.166 6.443
Nd Li Ru
8 2 2
Cartesian
-1.620 2.072 5.356 Nd
3.445 5.884 1.087 Nd
-1.164 5.410 4.241 Nd
-1.535 -1.718 5.356 Nd
1.829 3.275 4.241 Nd
0.081 0.891 2.201 Nd
3.074 -1.245 2.201 Nd
3.530 2.093 1.087 Nd
0.333 4.343 1.559 Li
1.578 -0.177 4.884 Li
-2.823 4.697 6.438 Ru
4.733 -0.531 0.005 Ru